Entry 1:
This record from the Alexandria database describes crystalline Sr2Co2Ru at its relaxed geometry. The functional is PBE.

## Properties
Energy of formation, meV per atom: 442.8
N(E_F), states/eV/cell: 7.4

The structure in extended XYZ format:
```
10
Lattice="-5.120 3.977 0.281 0.055 -0.387 6.477 2.998 3.845 0.204" Properties=species:S:1:pos:R:3 pbc="T T T"
Ru 0.000 0.000 0.000
Ru -2.533 1.795 3.379
Co -1.877 1.156 5.779
Co -4.451 3.242 4.288
Co -3.188 2.434 0.978
Co -0.614 0.348 2.470
Sr 0.586 2.396 4.595
Sr -1.967 4.334 5.569
Sr -2.653 5.040 2.367
Sr -0.100 3.101 1.393
```



Entry 2:
This record from the Alexandria database describes crystalline SrCo2Ru at its relaxed geometry. The functional is PBE.

## Properties
Energy of formation, meV per atom: 566.2
E above lowest polymorph, eV per atom: 0.3505
N(E_F), states/eV/cell: 4.4

The structure in extended XYZ format:
```
4
Lattice="-2.265 -3.034 -0.851 1.920 -0.632 -2.859 4.370 -3.718 1.624" Properties=species:S:1:pos:R:3 pbc="T T T"
Co 0.616 -0.374 -0.305
Co 0.176 -2.580 -0.118
Ru 2.555 -1.667 -0.861
Sr 3.822 -4.938 -1.419
```



Entry 3:
This record from the Alexandria database describes crystalline SrCo3Ru at its relaxed geometry. The functional is PBE.

## Properties
Energy of formation, meV per atom: 2444.9
E above lowest polymorph, eV per atom: 1.6303
N(E_F), states/eV/cell: 12.4

The structure in extended XYZ format:
```
5
Lattice="-2.750 3.274 -1.531 -3.614 -2.466 1.219 0.047 1.956 4.098" Properties=species:S:1:pos:R:3 pbc="T T T"
Ru -3.158 1.382 1.893
Co -1.807 -1.233 0.610
Co 0.024 0.978 2.049
Co -1.375 1.637 -0.765
Sr 0.000 0.000 0.000
```



Entry 4:
This record from the Alexandria database describes crystalline SrCo2Ru at its relaxed geometry. The functional is PBE.

## Properties
Energy of formation, meV per atom: 680.4
E above lowest polymorph, eV per atom: 0.4647
N(E_F), states/eV/cell: 4.3

The structure in extended XYZ format:
```
4
Lattice="5.508 0.006 0.000 2.568 4.872 0.000 -3.348 -3.581 2.510" Properties=species:S:1:pos:R:3 pbc="T T T"
Co 0.348 0.210 0.000
Co 1.572 1.831 1.255
Ru 3.720 2.247 0.000
Sr 3.125 -0.553 1.255
```